No. 1
Material: FeTe2Se
Method: DFT, PBE
State: optimized geometry

Cell lengths 3.9619, 5.7031, 5.7037 Å; angles 50.14, 90.00, 90.00 degrees
Each line ends with the local moment (μB).
Atoms (fractional coordinates):
1 Se 0.5000 0.7500 0.7500  0.18
2 Te 0.0000 0.0868 0.0869  -0.05
3 Te 0.0000 0.4132 0.4131  -0.05
4 Fe 0.5000 0.2500 0.2500  1.89

Results
The size of the total moment comes out at 2.059 μB/f.u. The value obtained for the uncorrected formation energy is 0.040 eV per atom.


No. 2
Material: Fe4Te3Se
Method: DFT, PBE
State: optimized geometry

Cell lengths 3.6070, 3.6070, 13.2511 Å; angles 90.00, 90.00, 90.00 degrees
Each line ends with the local moment (μB).
Atoms (fractional coordinates):
1 Fe 0.0000 0.5000 0.0094  1.90
2 Fe 0.5000 0.0000 0.4953  2.33
3 Fe 0.0000 0.5000 0.4953  2.33
4 Fe 0.5000 0.0000 0.0094  1.90
5 Te 0.5000 0.5000 0.8703  -0.05
6 Te 0.0000 0.0000 0.6378  -0.05
7 Te 0.5000 0.5000 0.3530  -0.06
8 Se 0.0000 0.0000 0.1294  -0.04

Results
The size of the total moment comes out at 8.429 μB/f.u. As for the polymorph energy (0 for the lowest one): 0.000 eV/atom. The value obtained for the uncorrected formation energy is -0.095 eV per atom.


No. 3
Material: FeTe2Se
Method: DFT, PBE
State: optimized geometry

Cell lengths 6.3596, 6.3596, 7.2286 Å; angles 63.90, 63.90, 90.00 degrees
Each line ends with the local moment (μB).
Atoms (fractional coordinates):
1 Te 0.3750 0.4487 0.7500  -0.04
2 Te 0.8750 0.8013 0.7500  -0.04
3 Te 0.1987 0.6250 0.2500  -0.04
4 Te 0.5513 0.1250 0.2500  -0.04
5 Se 0.0000 0.0000 0.0000  -0.07
6 Se 0.7500 0.2500 0.5000  -0.07
7 Fe 0.5000 0.5000 0.0000  0.87
8 Fe 0.2500 0.7500 0.5000  0.87

Results
The size of the total moment comes out at 0.709 μB/f.u. The value obtained for the uncorrected formation energy is 0.266 eV per atom.


No. 4
Material: FeTe2Se
Method: DFT, PBE
State: optimized geometry

Cell lengths 5.0116, 5.0116, 5.0116 Å; angles 119.91, 119.91, 90.15 degrees
Each line ends with the local moment (μB).
Atoms (fractional coordinates):
1 Te 0.2500 0.7500 0.5000  -0.02
2 Te 0.0000 0.0000 0.0000  -0.06
3 Se 0.7500 0.2500 0.5000  0.03
4 Fe 0.5000 0.5000 0.0000  3.12

Results
The size of the total moment comes out at 3.035 μB/f.u. The value obtained for the uncorrected formation energy is 0.589 eV per atom.


No. 5
Material: Fe4Te3Se
Method: DFT, PBE
State: optimized geometry

Cell lengths 7.4841, 7.4841, 7.4841 Å; angles 140.06, 140.06, 57.76 degrees
Each line ends with the local moment (μB).
Atoms (fractional coordinates):
1 Fe 0.5013 0.5013 0.4977  2.06
2 Fe 0.5013 0.0036 0.0000  2.06
3 Fe 0.0036 0.5013 0.0000  2.06
4 Fe 0.0036 0.0036 0.5023  2.06
5 Se 0.3750 0.3750 0.0000  -0.04
6 Te 0.1110 0.6110 0.5000  -0.06
7 Te 0.8932 0.8932 0.0000  -0.06
8 Te 0.6110 0.1110 0.5000  -0.06

Results
The size of the total moment comes out at 8.181 μB/f.u. As for the polymorph energy (0 for the lowest one): 0.002 eV/atom. The value obtained for the uncorrected formation energy is -0.093 eV per atom.


No. 6
Material: Fe2TeSe2
Method: DFT, PBE
State: optimized geometry

Cell lengths 4.1032, 4.1032, 6.2492 Å; angles 70.83, 70.83, 90.00 degrees
Each line ends with the local moment (μB).
Atoms (fractional coordinates):
1 Se 0.2500 0.7500 0.5000  -0.09
2 Se 0.7500 0.2500 0.5000  -0.09
3 Fe 0.6205 0.6205 0.7590  2.43
4 Fe 0.3795 0.3795 0.2410  2.43
5 Te 0.0000 0.0000 0.0000  -0.08

Results
The size of the total moment comes out at 4.722 μB/f.u. The value obtained for the uncorrected formation energy is 0.281 eV per atom.


No. 7
Material: FeTe2Se
Method: DFT, PBE
State: optimized geometry

Cell lengths 7.7551, 7.7551, 7.7551 Å; angles 27.83, 27.83, 27.83 degrees
Each line ends with the local moment (μB).
Atoms (fractional coordinates):
1 Te 0.4852 0.4852 0.4852  -0.04
2 Te 0.0148 0.0148 0.0148  -0.04
3 Se 0.2500 0.2500 0.2500  -0.12
4 Fe 0.7500 0.7500 0.7500  2.03

Results
The size of the total moment comes out at 1.780 μB/f.u. The value obtained for the uncorrected formation energy is 0.138 eV per atom.


No. 8
Material: Fe2TeSe
Method: DFT, PBE
State: optimized geometry

Cell lengths 4.4646, 4.4646, 3.1895 Å; angles 90.03, 90.03, 89.97 degrees
Each line ends with the local moment (μB).
Atoms (fractional coordinates):
1 Fe 0.0000 0.0000 0.0000  2.01
2 Fe 0.5000 0.5000 0.0000  2.01
3 Se 0.5000 0.0000 0.5000  -0.04
4 Te 0.0000 0.5000 0.5000  -0.07

Results
The size of the total moment comes out at 3.788 μB/f.u. The value obtained for the uncorrected formation energy is 0.381 eV per atom.


No. 9
Material: Fe3TeSe
Method: DFT, PBE
State: optimized geometry

Cell lengths 4.8695, 4.8695, 4.8695 Å; angles 90.00, 90.00, 90.00 degrees
Each line ends with the local moment (μB).
Atoms (fractional coordinates):
1 Se 0.5000 0.5000 0.5000  0.42
2 Fe 0.5000 0.0000 0.0000  3.13
3 Fe 0.0000 0.0000 0.5000  2.92
4 Fe 0.0000 0.5000 0.0000  3.01
5 Te 0.0000 0.0000 0.0000  0.01

Results
The size of the total moment comes out at 9.967 μB/f.u. As for the polymorph energy (0 for the lowest one): 0.500 eV/atom. The value obtained for the uncorrected formation energy is 1.127 eV per atom.


No. 10
Material: Fe3TeSe
Method: DFT, PBE
State: optimized geometry

Cell lengths 4.5413, 4.5413, 4.5413 Å; angles 90.00, 90.00, 90.00 degrees
Each line ends with the local moment (μB).
Atoms (fractional coordinates):
1 Fe 0.0000 0.5000 0.0000  2.62
2 Fe 0.0000 0.0000 0.5000  2.36
3 Fe 0.5000 0.0000 0.0000  2.74
4 Se 0.0000 0.0000 0.0000  0.00
5 Te 0.5000 0.5000 0.5000  0.16

Results
The size of the total moment comes out at 8.000 μB/f.u. As for the polymorph energy (0 for the lowest one): 0.000 eV/atom. The value obtained for the uncorrected formation energy is 0.626 eV per atom.


No. 11
Material: Fe4Te3Se
Method: DFT, PBE
State: optimized geometry

Cell lengths 7.5506, 7.5506, 3.6227 Å; angles 90.00, 90.00, 123.13 degrees
Each line ends with the local moment (μB).
Atoms (fractional coordinates):
1 Fe 0.7461 0.2539 0.5000  2.10
2 Fe 0.9992 0.5030 0.0000  2.10
3 Fe 0.2480 0.7520 0.5000  2.10
4 Fe 0.4970 0.0008 0.0000  2.10
5 Se 0.1266 0.8734 0.0000  -0.04
6 Te 0.6398 0.8642 0.5000  -0.06
7 Te 0.6074 0.3926 0.0000  -0.06
8 Te 0.1358 0.3602 0.5000  -0.06

Results
The size of the total moment comes out at 8.366 μB/f.u. As for the polymorph energy (0 for the lowest one): 0.000 eV/atom. The value obtained for the uncorrected formation energy is -0.095 eV per atom.


No. 12
Material: Fe4TeSe
Method: DFT, PBE
State: optimized geometry

Cell lengths 5.0770, 5.0770, 5.0770 Å; angles 60.00, 60.00, 60.00 degrees
Each line ends with the local moment (μB).
Atoms (fractional coordinates):
1 Se 0.7500 0.7500 0.7500  0.07
2 Fe 0.3751 0.3751 0.8748  2.70
3 Fe 0.8748 0.3751 0.3751  2.70
4 Fe 0.3751 0.8748 0.3751  2.70
5 Fe 0.3751 0.3751 0.3751  2.70
6 Te 0.0000 0.0000 0.0000  -0.01

Results
The size of the total moment comes out at 11.043 μB/f.u. The value obtained for the uncorrected formation energy is 0.401 eV per atom.


- Which of these has the highest uncorrected formation energy?
  number 9